Dy3C2 | PBE | optimized geometry

Cell: 6.202 6.202 6.881 Å, 63.21 63.21 60.00°
Atoms (fractional coordinates):
Dy (0.438, 0.062, 0.750)
Dy (0.562, 0.938, 0.250)
Dy (0.938, 0.250, 0.250)
Dy (0.750, 0.438, 0.750)
Dy (0.062, 0.750, 0.750)
Dy (0.250, 0.562, 0.250)
C (0.656, 0.656, 0.033)
C (0.344, 0.344, 0.967)
C (0.844, 0.844, 0.467)
C (0.156, 0.156, 0.533)

Fermi-level density of states	2.33	states/eV/f.u.
formation energy from the elements	-201	meV per atom
total magnetization	0.000	μB per cell
V	195.8	Å³/cell